Version A
ScAlS2N: relaxed, PBE.

Results
Density of states at the Fermi level ... 0.72 states/eV/atom
Space group ... No. 123
M_tot ... 0.370 μB/atom

The structure in extended XYZ format:
```
5
Lattice="5.0007 0.0000 0.0000 0.0000 5.0007 0.0000 0.0000 0.0000 4.0675" Properties=species:S:1:pos:R:3 pbc="T T T"
Sc 0.0000 0.0000 0.0000
Al 2.5003 2.5003 2.0338
S 0.0000 2.5003 0.0000
S 2.5003 0.0000 0.0000
N 0.0000 0.0000 2.0338
```

=====

Version B
ScAlS2N: relaxed, PBE.

Results
Density of states at the Fermi level ... 0.28 states/eV/atom
Space group ... No. 123
M_tot ... 0.205 μB/atom

The structure in extended XYZ format:
```
5
Lattice="4.7065 0.0000 0.0000 0.0000 4.7065 0.0000 0.0000 0.0000 3.6363" Properties=species:S:1:pos:R:3 pbc="T T T"
Sc 0.0000 0.0000 0.0000
Al 2.3533 2.3533 1.8181
S 0.0000 2.3533 1.8181
S 2.3533 0.0000 1.8181
N 2.3533 2.3533 0.0000
```

=====

Which one sits at the top of the stability order? version B does.

=====

Version A
ScAlSN2: relaxed, PBE.

Results
Density of states at the Fermi level ... 0.70 states/eV/atom
Space group ... No. 123
M_tot ... 0.000 μB/atom

The structure in extended XYZ format:
```
5
Lattice="3.9637 0.0000 0.0000 0.0000 3.9637 0.0000 0.0000 0.0000 5.3773" Properties=species:S:1:pos:R:3 pbc="T T T"
Sc 0.0000 0.0000 0.0000
Al 1.9818 1.9818 2.6886
S 0.0000 0.0000 2.6886
N 0.0000 1.9818 0.0000
N 1.9818 0.0000 0.0000
```

=====

Version B
ScAlSN2: relaxed, PBE.

Results
Density of states at the Fermi level ... 0.29 states/eV/atom
Space group ... No. 123
M_tot ... 0.000 μB/atom

The structure in extended XYZ format:
```
5
Lattice="3.6923 0.0000 0.0000 0.0000 3.6923 0.0000 0.0000 0.0000 4.9936" Properties=species:S:1:pos:R:3 pbc="T T T"
Sc 0.0000 0.0000 0.0000
Al 1.8461 1.8461 2.4968
S 1.8461 1.8461 0.0000
N 0.0000 1.8461 2.4968
N 1.8461 0.0000 2.4968
```

=====

Which one sits at the top of the stability order? version B does.

=====

Version A
AlSe2SN: relaxed, PBE.

Results
Density of states at the Fermi level ... 0.72 states/eV/atom
Space group ... No. 123
M_tot ... 0.000 μB/atom

The structure in extended XYZ format:
```
5
Lattice="5.0539 0.0000 0.0000 0.0000 5.0539 0.0000 0.0000 0.0000 3.4065" Properties=species:S:1:pos:R:3 pbc="T T T"
Al 0.0000 0.0000 0.0000
Se 0.0000 2.5269 1.7032
Se 2.5269 0.0000 1.7032
S 2.5269 2.5269 1.7032
N 2.5269 2.5269 0.0000
```

=====

Version B
AlSe2SN: relaxed, PBE.

Results
Density of states at the Fermi level ... 0.77 states/eV/atom
Space group ... No. 123
M_tot ... 0.000 μB/atom

The structure in extended XYZ format:
```
5
Lattice="5.0601 0.0000 0.0000 0.0000 5.0601 0.0000 0.0000 0.0000 3.5233" Properties=species:S:1:pos:R:3 pbc="T T T"
Al 0.0000 0.0000 0.0000
Se 0.0000 2.5300 0.0000
Se 2.5300 0.0000 0.0000
S 2.5300 2.5300 1.7616
N 0.0000 0.0000 1.7616
```

=====

Which one sits at the top of the stability order? version B does.

=====

Version A
AlSeS2N: relaxed, PBE.

Results
Density of states at the Fermi level ... 0.77 states/eV/atom
Space group ... No. 123
M_tot ... 0.000 μB/atom

The structure in extended XYZ format:
```
5
Lattice="4.8146 0.0000 0.0000 0.0000 4.8146 0.0000 0.0000 0.0000 3.5629" Properties=species:S:1:pos:R:3 pbc="T T T"
Al 0.0000 0.0000 0.0000
Se 2.4073 2.4073 1.7815
S 0.0000 2.4073 0.0000
S 2.4073 0.0000 0.0000
N 0.0000 0.0000 1.7815
```

=====

Version B
AlSeS2N: relaxed, PBE.

Results
Density of states at the Fermi level ... 0.79 states/eV/atom
Space group ... No. 123
M_tot ... 0.001 μB/atom

The structure in extended XYZ format:
```
5
Lattice="4.9044 0.0000 0.0000 0.0000 4.9044 0.0000 0.0000 0.0000 3.6643" Properties=species:S:1:pos:R:3 pbc="T T T"
Al 0.0000 0.0000 0.0000
Se 2.4522 2.4522 1.8321
S 0.0000 2.4522 1.8321
S 2.4522 0.0000 1.8321
N 2.4522 2.4522 0.0000
```

=====

Which one sits at the top of the stability order? version A does.